1.
## ScPbBr2 (GGA-PBEsol)

Data for an optimized crystal structure of ScPbBr2.

## Properties
Space group = Fm-3m (225)
Magnetization = 0.001 Bohr magnetons per cell
N(E_F) = 3.74 states/eV/cell
Energy above the lowest structure with this stoichiometry = 120.5 meV per atom

Lattice parameters (Å, degrees): 5.128 5.128 5.128 60.00 60.00 60.00
Fractional positions:
Br  0.250  0.250  0.250
Br  0.750  0.750  0.750
Sc  0.500  0.500  0.500
Pb  0.000  0.000  0.000

---

2.
## CaZnSi2 (GGA-PBEsol)

Data for an optimized crystal structure of CaZnSi2.

## Properties
VASP energy = -3.813 eV per atom
Space group = I4/mmm (139)
Magnetization = 0.000 Bohr magnetons per cell
N(E_F) = 1.80 states/eV/cell

Lattice parameters (Å, degrees): 3.981 3.981 5.303 112.04 112.04 90.00
Fractional positions:
Si  0.750  0.250  0.500
Si  0.250  0.750  0.500
Zn  0.000  0.000  0.000
Ca  0.500  0.500  0.000

---

Q: Number 1 is which compound?
A: ScPbBr2

---

Q: Which of these has the lowest magnetization?
A: CaZnSi2